Mn3O2F4, relaxed, DFT GGA+U; excess energy over the best structure of this formula in the dataset = 15 meV per atom; SG = P-1 (2); electronic total energy = -0.2429 Ha/atom; crystal system = triclinic
1.0
4.829 0.000 0.000
0.470 5.774 0.000
0.477 0.547 7.907
Mn O F
6 4 8
direct
0.000 0.000 0.000
0.015 0.652 0.333
0.481 0.176 0.341
0.500 0.500 0.000
0.519 0.824 0.659
0.985 0.348 0.667
0.189 0.371 0.443
0.199 0.698 0.104
0.801 0.302 0.896
0.811 0.629 0.557
0.204 0.042 0.756
0.303 0.875 0.435
0.305 0.199 0.101
0.312 0.544 0.774
0.688 0.456 0.226
0.695 0.801 0.899
0.697 0.125 0.565
0.796 0.958 0.244